The following is a DFT calculation (PBE with a Hubbard U) of crystalline Rb4Nd3FeO8 at its relaxed geometry.

* SG: R-3m (166)
* DFT total energy: -6.153 eV per atom
* DOS at the Fermi energy: 0.00 states/eV/cell

Lattice parameters (Å, degrees): 7.1133 7.7485 7.1128 117.31 120.00 90.00
Each line ends with the local moment (μB).
Sites, in units of the cell vectors:
1 Rb 0.5000 0.0000 0.0000  0.01
2 Rb 0.0000 0.0000 0.5000  0.00
3 Rb 0.0000 0.0000 0.0000  0.00
4 Rb 0.5000 0.0000 0.5000  0.00
5 O 0.7870 0.3246 0.5739  0.12
6 O 0.7278 0.6834 0.4556  0.01
7 O 0.2130 0.6754 0.4261  0.12
8 O 0.7488 0.6756 0.9622  0.12
9 O 0.2134 0.6756 0.9622  0.12
10 O 0.7866 0.3244 0.0378  0.12
11 O 0.2512 0.3244 0.0378  0.12
12 O 0.2722 0.3166 0.5444  0.01
13 Nd 0.5000 0.5000 0.0000  0.00
14 Nd 0.0000 0.5000 0.5000  0.00
15 Nd 0.5000 0.5000 0.5000  0.00
16 Fe 0.0000 0.5000 0.0000  4.29